Li3SmZr2S6 after structural relaxation, computed with PBE-GGA.

Output
total magnetic moment: 0.0 μB per formula unit
N(E_F): 3.82 states/eV/cell
VASP energy: -5.953 eV/atom

a b c (Å): 6.4778 6.4778 6.6157
angles (deg): 99.43 99.43 120.01
Element x y z (fractional)
Li: 0.0000 0.0000 0.0000
Li: 0.3352 0.6648 0.0000
Li: 0.6648 0.3352 0.0000
Sm: 0.5000 0.5000 0.5000
Zr: 0.1668 0.8332 0.5000
Zr: 0.8332 0.1668 0.5000
S: 0.0640 0.4156 0.2476
S: 0.2339 0.2339 0.7546
S: 0.4156 0.0640 0.2476
S: 0.5844 0.9360 0.7524
S: 0.7661 0.7661 0.2454
S: 0.9360 0.5844 0.7524